Entry from Alexandria: crystalline BaMg2In2Pb at its relaxed geometry (GGA-PBE).

Calculated values
ΔE_f in eV/atom: -0.22
Space-group type: No. 164
E in eV per atom: -2.60
Total magnetic moment in μB/atom: 0.000

a = 5.167 Å, b = 5.167 Å, c = 7.879 Å
α = 90.00°, β = 90.00°, γ = 120.00°
Positions (direct):
Mg 0.667 0.333 0.328
Mg 0.333 0.667 0.672
In 0.333 0.667 0.260
In 0.667 0.333 0.740
Pb 0.000 0.000 0.500
Ba 0.000 0.000 0.000